# 1
TeRu2Pb | PBE | relaxed

The value obtained for the calculated density is 11.512 g cm⁻³. The calculation puts the density of states at the Fermi level at 4.34 states/eV/f.u. Its energy above the most stable polymorph in this dataset is 106.0 meV/atom. Its crystal system is monoclinic. The value obtained for the uncorrected formation energy is 41 kJ per mole of atoms.

It has space group C2/m (No. 12), with a = 8.467 Å, b = 3.248 Å, c = 5.806 Å, α = 90.00°, β = 104.00° and γ = 90.00°. The asymmetric unit holds Te at (0.000, 0.000, 0.000), Ru at (0.249, 0.000, 0.786) and Pb at (0.000, 0.500, 0.500).

# 2
KCeGaSe4 | PBE | relaxed

The value obtained for the calculated density is 4.578 g cm⁻³. The calculation puts the density of states at the Fermi level at 2.28 states/eV/f.u. Its crystal system is monoclinic. The value obtained for the uncorrected formation energy is -116 kJ per mole of atoms.

It has space group P2_1/m (No. 11), with a = 6.835 Å, b = 6.829 Å, c = 9.238 Å, α = 90.00°, β = 108.15° and γ = 90.00°. The asymmetric unit holds K at (0.248, 0.250, 0.056), Ce at (0.235, 0.250, 0.556), Ga at (0.230, 0.750, 0.329), Se at (0.019, 0.515, 0.711), Se at (0.432, 0.750, 0.160) and Se at (0.447, 0.750, 0.590).

# 3
NpBiPd | PBE | relaxed

The value obtained for the calculated density is 13.735 g cm⁻³. The calculation puts the density of states at the Fermi level at 4.05 states/eV/f.u. Its crystal system is monoclinic. The calculated formation energy comes out at -0.15 eV per atom.

It has space group P2_1/m (No. 11), with a = 5.856 Å, b = 3.405 Å, c = 6.704 Å, α = 90.00°, β = 92.28° and γ = 90.00°. The asymmetric unit holds Np at (0.043, 0.250, 0.123), Bi at (0.428, 0.250, 0.764) and Pd at (0.179, 0.750, 0.469).

# 4
K3BeTe3 | PBE | relaxed

The value obtained for the calculated density is 3.284 g cm⁻³. Its crystal system is monoclinic. The value obtained for the uncorrected formation energy is -74 kJ per mole of atoms.

It has space group P2_1/c (No. 14), with a = 8.661 Å, b = 12.707 Å, c = 11.765 Å, α = 90.00°, β = 127.32° and γ = 90.00°. The asymmetric unit holds K at (0.093, 0.194, 0.402), K at (0.369, 0.578, 0.121), K at (0.373, 0.613, 0.532), Be at (0.127, 0.565, 0.746), Te at (0.106, 0.082, 0.098), Te at (0.112, 0.075, 0.718) and Te at (0.394, 0.680, 0.842).

# 5
Sr2BiF | PBE | relaxed

The value obtained for the calculated density is 5.248 g cm⁻³. The calculation puts the density of states at the Fermi level at 0.05 states/eV/f.u. Its energy above the most stable polymorph in this dataset is 0.0 meV/atom. Its crystal system is orthorhombic. The value obtained for the uncorrected formation energy is -191 kJ per mole of atoms.

It has space group Cmce (No. 64), with a = 7.334 Å, b = 14.527 Å, c = 9.579 Å, α = 90.00°, β = 90.00° and γ = 90.00°. The asymmetric unit holds Sr at (0.000, 0.115, 0.111), Sr at (0.250, 0.152, 0.750), Bi at (0.000, 0.169, 0.442) and F at (0.000, 0.058, 0.861).

# 6
La4Mg2Cd | PBE | relaxed

The value obtained for the calculated density is 4.966 g cm⁻³. The calculation puts the density of states at the Fermi level at 11.25 states/eV/f.u. Its crystal system is tetragonal. The calculated formation energy comes out at -0.01 eV per atom.

It has space group I4/mmm (No. 139), with a = 7.872 Å, b = 7.872 Å, c = 7.733 Å, α = 90.00°, β = 90.00° and γ = 90.00°. The asymmetric unit holds La at (0.250, 0.250, 0.250), Mg at (0.000, 0.500, 0.000) and Cd at (0.000, 0.000, 0.000).

# 7
MnSnPS | PBE | relaxed

The value obtained for the calculated density is 5.132 g cm⁻³. The calculation puts the density of states at the Fermi level at 1.84 states/eV/f.u. Its energy above the most stable polymorph in this dataset is 158.7 meV/atom. Its crystal system is orthorhombic. The value obtained for the uncorrected formation energy is -10 kJ per mole of atoms.

It has space group Amm2 (No. 38), with a = 3.627 Å, b = 4.283 Å, c = 9.859 Å, α = 90.00°, β = 90.00° and γ = 90.00°. The asymmetric unit holds Mn at (0.000, 0.000, 0.000), Sn at (0.500, 0.000, 0.803), P at (0.000, 0.000, 0.489) and S at (0.500, 0.000, 0.152).

# 8
MgZn4Sn | PBE | relaxed

The value obtained for the calculated density is 6.116 g cm⁻³. The calculation puts the density of states at the Fermi level at 1.89 states/eV/f.u. Its crystal system is cubic. The calculated formation energy comes out at -0.02 eV per atom.

It has space group F-43m (No. 216), with a = 7.603 Å, b = 7.603 Å, c = 7.603 Å, α = 90.00°, β = 90.00° and γ = 90.00°. The asymmetric unit holds Mg at (0.000, 0.000, 0.000), Zn at (0.126, 0.126, 0.374) and Sn at (0.250, 0.250, 0.750).

# 9
PtIN3 | PBE | relaxed

The value obtained for the calculated density is 9.441 g cm⁻³. The calculation puts the density of states at the Fermi level at 2.72 states/eV/f.u. Its crystal system is cubic. The value obtained for the uncorrected formation energy is 263 kJ per mole of atoms.

It has space group Pm-3m (No. 221), with a = 4.001 Å, b = 4.001 Å, c = 4.001 Å, α = 90.00°, β = 90.00° and γ = 90.00°. The asymmetric unit holds Pt at (0.000, 0.000, 0.000), I at (0.500, 0.500, 0.500) and N at (0.000, 0.500, 0.500).

# 10
KAl2Se | PBE | relaxed

The value obtained for the calculated density is 2.897 g cm⁻³. The calculation puts the density of states at the Fermi level at 1.82 states/eV/f.u. Its crystal system is tetragonal. The value obtained for the uncorrected formation energy is 1 kJ per mole of atoms.

It has space group P4/mmm (No. 123), with a = 4.362 Å, b = 4.362 Å, c = 5.181 Å, α = 90.00°, β = 90.00° and γ = 90.00°. The asymmetric unit holds K at (0.000, 0.000, 0.000), Al at (0.000, 0.500, 0.500) and Se at (0.500, 0.500, 0.000).

# 11
BaCu4Os | PBE | relaxed

The value obtained for the calculated density is 9.892 g cm⁻³. The calculation puts the density of states at the Fermi level at 0.23 states/eV/f.u. Its crystal system is cubic. The calculated formation energy comes out at 0.56 eV per atom.

It has space group F-43m (No. 216), with a = 7.310 Å, b = 7.310 Å, c = 7.310 Å, α = 90.00°, β = 90.00° and γ = 90.00°. The asymmetric unit holds Ba at (0.000, 0.000, 0.000), Cu at (0.122, 0.122, 0.622) and Os at (0.250, 0.250, 0.250).

# 12
Pr4Nd5Th | PBE | relaxed

The value obtained for the calculated density is 7.083 g cm⁻³. The calculation puts the density of states at the Fermi level at 16.53 states/eV/f.u. Its energy above the most stable polymorph in this dataset is 0.0 meV/atom. Its crystal system is tetragonal. The calculated formation energy comes out at 0.02 eV per atom.

It has space group P4/mmm (No. 123), with a = 3.678 Å, b = 3.678 Å, c = 26.292 Å, α = 90.00°, β = 90.00° and γ = 90.00°. The asymmetric unit holds Pr at (0.000, 0.000, 0.100), Pr at (0.000, 0.000, 0.301), Nd at (0.500, 0.500, 0.000), Nd at (0.500, 0.500, 0.202), Nd at (0.500, 0.500, 0.407) and Th at (0.000, 0.000, 0.500).

Per-record magnetization, μB per formula unit: 0.0 0.2 0.9 0.0 0.0 0.0 1.0 0.0 2.7 0.0 0.0 0.0